An optimized crystal structure of CaPr6Er5, computed with PBE-GGA.

Calculated formation energy: 0.04 eV/atom

Cell and atoms, written as CIF:
```
data_CaPr6Er5
_chemical_formula_sum 'Ca2 Pr12 Er10'
_cell_length_a 5.192
_cell_length_b 15.587
_cell_length_c 10.095
_cell_angle_alpha 90.00
_cell_angle_beta 90.00
_cell_angle_gamma 90.00
_space_group_name_H-M_alt 'C m m m'
_space_group_IT_number 65
_space_group_name_Hall '-C 2 2'
loop_
_atom_site_label
_atom_site_fract_x
_atom_site_fract_y
_atom_site_fract_z
Ca1 0.000 0.000 0.000
Pr1 0.000 0.170 0.253
Pr2 0.000 0.500 0.258
Er1 0.000 0.000 0.500
Er2 0.000 0.328 0.000
Er3 0.000 0.333 0.500
```

An optimized crystal structure of Ce4Ga12Tc, computed with PBE-GGA.

Calculated formation energy: -0.55 eV/atom

Cell and atoms, written as CIF:
```
data_Ce4Ga12Tc
_chemical_formula_sum 'Ce8 Ga24 Tc2'
_cell_length_a 8.732
_cell_length_b 8.732
_cell_length_c 8.732
_cell_angle_alpha 90.00
_cell_angle_beta 90.00
_cell_angle_gamma 90.00
_space_group_name_H-M_alt 'I m -3 m'
_space_group_IT_number 229
_space_group_name_Hall '-I 4 2 3'
loop_
_atom_site_label
_atom_site_fract_x
_atom_site_fract_y
_atom_site_fract_z
Ce1 0.250 0.250 0.250
Ga1 0.000 0.000 0.291
Ga2 0.000 0.250 0.500
Tc1 0.000 0.000 0.000
```

An optimized crystal structure of SrSi2P, computed with PBE-GGA.

Raw formation energy: 45 kJ/mol of formula units

Cell and atoms, written as CIF:
```
data_SrSi2P
_chemical_formula_sum 'Sr1 Si2 P1'
_cell_length_a 4.177
_cell_length_b 4.177
_cell_length_c 4.614
_cell_angle_alpha 90.00
_cell_angle_beta 90.00
_cell_angle_gamma 90.00
_space_group_name_H-M_alt 'P 4/m m m'
_space_group_IT_number 123
_space_group_name_Hall '-P 4 2'
loop_
_atom_site_label
_atom_site_fract_x
_atom_site_fract_y
_atom_site_fract_z
Sr1 0.000 0.000 0.000
Si1 0.000 0.500 0.500
P1 0.500 0.500 0.000
```

An optimized crystal structure of KSr3Rh, computed with PBE-GGA.

ΔE to the lowest computed polymorph: 717 meV per atom
Calculated formation energy: 0.58 eV/atom

Cell and atoms, written as CIF:
```
data_KSr3Rh
_chemical_formula_sum 'K4 Sr12 Rh4'
_cell_length_a 6.917
_cell_length_b 22.044
_cell_length_c 7.482
_cell_angle_alpha 90.00
_cell_angle_beta 90.00
_cell_angle_gamma 90.00
_space_group_name_H-M_alt 'C m c m'
_space_group_IT_number 63
_space_group_name_Hall '-C 2c 2'
loop_
_atom_site_label
_atom_site_fract_x
_atom_site_fract_y
_atom_site_fract_z
K1 0.000 0.186 0.250
Sr1 0.000 0.000 0.000
Sr2 0.236 0.373 0.250
Rh1 0.000 0.474 0.250
```

An optimized crystal structure of Zr2TcAg, computed with PBE-GGA.

Calculated formation energy: 0.03 eV/atom

Cell and atoms, written as CIF:
```
data_Zr2TcAg
_chemical_formula_sum 'Zr6 Tc3 Ag3'
_cell_length_a 3.2569
_cell_length_b 3.2569
_cell_length_c 26.2939
_cell_angle_alpha 90.00
_cell_angle_beta 90.00
_cell_angle_gamma 120.00
_space_group_name_H-M_alt 'R -3 m'
_space_group_IT_number 166
_space_group_name_Hall '-R 3 2"'
loop_
_atom_site_label
_atom_site_fract_x
_atom_site_fract_y
_atom_site_fract_z
Zr1 0.0000 0.0000 0.2420
Tc1 0.0000 0.0000 0.5000
Ag1 0.0000 0.0000 0.0000
```

An optimized crystal structure of Tb14PrZr, computed with PBE-GGA.

Calculated formation energy: 0.04 eV/atom

Cell and atoms, written as CIF:
```
data_Tb14PrZr
_chemical_formula_sum 'Tb14 Pr1 Zr1'
_cell_length_a 7.096
_cell_length_b 7.096
_cell_length_c 9.990
_cell_angle_alpha 90.00
_cell_angle_beta 90.00
_cell_angle_gamma 90.00
_space_group_name_H-M_alt 'P 4/m m m'
_space_group_IT_number 123
_space_group_name_Hall '-P 4 2'
loop_
_atom_site_label
_atom_site_fract_x
_atom_site_fract_y
_atom_site_fract_z
Tb1 0.000 0.000 0.000
Tb2 0.000 0.500 0.000
Tb3 0.000 0.500 0.500
Tb4 0.244 0.244 0.254
Tb5 0.500 0.500 0.000
Pr1 0.500 0.500 0.500
Zr1 0.000 0.000 0.500
```

An optimized crystal structure of Dy6ZnCd5, computed with PBE-GGA.

Calculated formation energy: -0.32 eV/atom

Cell and atoms, written as CIF:
```
data_Dy6ZnCd5
_chemical_formula_sum 'Dy6 Zn1 Cd5'
_cell_length_a 5.243
_cell_length_b 7.459
_cell_length_c 8.296
_cell_angle_alpha 90.00
_cell_angle_beta 108.35
_cell_angle_gamma 90.00
_space_group_name_H-M_alt 'P 1 2/m 1'
_space_group_IT_number 10
loop_
_space_group_symop_operation_xyz
'x,y,z'
'-x,-y,-z'
'-x,y,-z'
'x,-y,z'
loop_
_atom_site_label
_atom_site_fract_x
_atom_site_fract_y
_atom_site_fract_z
Dy1 0.000 0.241 0.000
Dy2 0.337 0.246 0.675
Zn1 0.500 0.000 0.000
Cd1 0.168 0.500 0.336
Cd2 0.169 0.000 0.339
Cd3 0.500 0.500 0.000
```

An optimized crystal structure of CsTl2PtBr, computed with PBE-GGA.

ΔE to the lowest computed polymorph: 0 meV per atom
Raw formation energy: -270 kJ/mol of formula units

Cell and atoms, written as CIF:
```
data_CsTl2PtBr
_chemical_formula_sum 'Cs1 Tl2 Pt1 Br1'
_cell_length_a 5.320
_cell_length_b 5.320
_cell_length_c 6.883
_cell_angle_alpha 90.00
_cell_angle_beta 90.00
_cell_angle_gamma 90.00
_space_group_name_H-M_alt 'P 4/m m m'
_space_group_IT_number 123
_space_group_name_Hall '-P 4 2'
loop_
_atom_site_label
_atom_site_fract_x
_atom_site_fract_y
_atom_site_fract_z
Cs1 0.000 0.000 0.000
Tl1 0.000 0.500 0.500
Pt1 0.000 0.000 0.500
Br1 0.500 0.500 0.000
```

An optimized crystal structure of ZrCoNiSn, computed with PBE-GGA.

Calculated formation energy: -0.40 eV/atom

Cell and atoms, written as CIF:
```
data_ZrCoNiSn
_chemical_formula_sum 'Zr4 Co4 Ni4 Sn4'
_cell_length_a 6.308
_cell_length_b 6.308
_cell_length_c 6.308
_cell_angle_alpha 90.00
_cell_angle_beta 90.00
_cell_angle_gamma 90.00
_space_group_name_H-M_alt 'F -4 3 m'
_space_group_IT_number 216
_space_group_name_Hall 'F -4 2 3'
loop_
_atom_site_label
_atom_site_fract_x
_atom_site_fract_y
_atom_site_fract_z
Zr1 0.000 0.000 0.000
Co1 0.250 0.250 0.250
Ni1 0.250 0.250 0.750
Sn1 0.000 0.000 0.500
```

An optimized crystal structure of Ca2ZrUAs4, computed with PBE-GGA.

Calculated formation energy: -1.07 eV/atom

Cell and atoms, written as CIF:
```
data_Ca2ZrUAs4
_chemical_formula_sum 'Ca2 Zr1 U1 As4'
_cell_length_a 7.021
_cell_length_b 4.070
_cell_length_c 7.215
_cell_angle_alpha 90.00
_cell_angle_beta 108.80
_cell_angle_gamma 90.00
_space_group_name_H-M_alt 'P 1 2/m 1'
_space_group_IT_number 10
loop_
_space_group_symop_operation_xyz
'x,y,z'
'-x,-y,-z'
'-x,y,-z'
'x,-y,z'
loop_
_atom_site_label
_atom_site_fract_x
_atom_site_fract_y
_atom_site_fract_z
Ca1 0.000 0.000 0.000
Ca2 0.500 0.500 0.000
Zr1 0.000 0.500 0.500
U1 0.500 0.000 0.500
As1 0.239 0.000 0.727
As2 0.251 0.500 0.270
```

An optimized crystal structure of SbTe2WCl, computed with PBE-GGA.

ΔE to the lowest computed polymorph: 1283 meV per atom
Raw formation energy: 789 kJ/mol of formula units

Cell and atoms, written as CIF:
```
data_SbTe2WCl
_chemical_formula_sum 'Sb1 Te2 W1 Cl1'
_cell_length_a 5.361
_cell_length_b 5.361
_cell_length_c 5.078
_cell_angle_alpha 90.00
_cell_angle_beta 90.00
_cell_angle_gamma 90.00
_space_group_name_H-M_alt 'P 4/m m m'
_space_group_IT_number 123
_space_group_name_Hall '-P 4 2'
loop_
_atom_site_label
_atom_site_fract_x
_atom_site_fract_y
_atom_site_fract_z
Sb1 0.000 0.000 0.000
Te1 0.000 0.500 0.500
W1 0.500 0.500 0.000
Cl1 0.000 0.000 0.500
```

An optimized crystal structure of Pr2Sm2Y7, computed with PBE-GGA.

ΔE to the lowest computed polymorph: 58 meV per atom
Calculated formation energy: 0.18 eV/atom

Cell and atoms, written as CIF:
```
data_Pr2Sm2Y7
_chemical_formula_sum 'Pr4 Sm4 Y14'
_cell_length_a 9.542
_cell_length_b 9.362
_cell_length_c 8.556
_cell_angle_alpha 90.00
_cell_angle_beta 101.61
_cell_angle_gamma 90.00
_space_group_name_H-M_alt 'C 1 2/m 1'
_space_group_IT_number 12
loop_
_space_group_symop_operation_xyz
'x,y,z'
'-x,-y,-z'
'-x,y,-z'
'x,-y,z'
'x+1/2,y+1/2,z'
'-x+1/2,-y+1/2,-z'
'-x+1/2,y+1/2,-z'
'x+1/2,-y+1/2,z'
loop_
_atom_site_label
_atom_site_fract_x
_atom_site_fract_y
_atom_site_fract_z
Pr1 0.109 0.000 0.362
Sm1 0.000 0.321 0.000
Y1 0.000 0.500 0.500
Y2 0.188 0.000 0.019
Y3 0.199 0.201 0.690
```

| no. | VASP energy (eV/cell) |
| --- | --- |
| 1 | -106.069 |
| 2 | -159.489 |
| 3 | -17.467 |
| 4 | -42.367 |
| 5 | -90.610 |
| 6 | -77.545 |
| 7 | -37.254 |
| 8 | -16.093 |
| 9 | -108.167 |
| 10 | -51.032 |
| 11 | -17.024 |
| 12 | -124.518 |